# 1
## NaHgBi (PBE)

Data for NaHgBi after structural relaxation.

a = 4.5486 Å, b = 6.0406 Å, c = 7.2223 Å
α = 90.00°, β = 89.81°, γ = 67.81°
Sites, in units of the cell vectors:
Bi: 0.5178 0.2563 0.6465
Bi: 0.0764 0.1370 0.9491
Na: 0.2330 0.8257 0.5476
Na: 0.3621 0.5669 0.0479
Hg: 0.6629 0.9632 0.2332
Hg: 0.9312 0.4303 0.3624

Properties
Space group: P-1, No. 2
Calculated formation energy in kJ/mol of formula units: -50.6
Magnetic moment in μB per formula unit: 0.00
Electronic total energy in eV per cell: -12.05

# 2
## Sr3Zn2Sn4 (PBE)

Data for Sr3Zn2Sn4 after structural relaxation.

a = 4.6984 Å, b = 6.6746 Å, c = 9.3437 Å
α = 99.04°, β = 90.00°, γ = 110.61°
Sites, in units of the cell vectors:
Sr: 0.3438 0.6875 0.3272
Sr: 0.6562 0.3125 0.6728
Sr: 0.0000 0.0000 0.0000
Sn: 0.9379 0.8759 0.6194
Sn: 0.3001 0.6002 0.9485
Sn: 0.6999 0.3998 0.0515
Sn: 0.0621 0.1241 0.3806
Zn: 0.3654 0.7307 0.6917
Zn: 0.6346 0.2693 0.3083

Properties
Space group: C2/m, No. 12
Calculated formation energy in kJ/mol of formula units: -439.4
Magnetic moment in μB per formula unit: 0.00
Electronic total energy in eV per cell: -28.16

# 3
## NdBe3Pt3 (PBE)

Data for NdBe3Pt3 after structural relaxation.

a = 6.1959 Å, b = 6.1959 Å, c = 6.1959 Å
α = 90.00°, β = 90.00°, γ = 90.00°
Sites, in units of the cell vectors:
Be: 0.5000 0.2500 0.0000
Be: 0.2500 0.0000 0.5000
Be: 0.0000 0.5000 0.2500
Be: 0.5000 0.7500 0.0000
Be: 0.7500 0.0000 0.5000
Be: 0.0000 0.5000 0.7500
Nd: 0.0000 0.0000 0.0000
Nd: 0.5000 0.5000 0.5000
Pt: 0.0000 0.7500 0.5000
Pt: 0.5000 0.0000 0.7500
Pt: 0.0000 0.2500 0.5000
Pt: 0.2500 0.5000 0.0000
Pt: 0.5000 0.0000 0.2500
Pt: 0.7500 0.5000 0.0000

Properties
Space group: Pm-3n, No. 223
Calculated formation energy in kJ/mol of formula units: -372.5
Magnetic moment in μB per formula unit: 0.00
Electronic total energy in eV per cell: -75.86

# 4
## ZrCuPS2 (PBE)

Data for ZrCuPS2 after structural relaxation.

a = 4.9237 Å, b = 4.9237 Å, c = 5.0595 Å
α = 90.00°, β = 90.00°, γ = 90.00°
Sites, in units of the cell vectors:
Cu: 0.5000 0.5000 0.5000
S: 0.0000 0.5000 0.0000
S: 0.5000 0.0000 0.0000
Zr: 0.0000 0.0000 0.0000
P: 0.0000 0.0000 0.5000

Properties
Excess energy over the best structure of this formula in the dataset in meV/atom: 85.7
Space group: P4/mmm, No. 123
Magnetic moment in μB per formula unit: 0.00
Electronic total energy in eV per cell: -25.33

# 5
## Ca12Zn6Ga (PBE)

Data for Ca12Zn6Ga after structural relaxation.

a = 9.0332 Å, b = 9.0332 Å, c = 9.0332 Å
α = 109.47°, β = 109.47°, γ = 109.47°
Sites, in units of the cell vectors:
Zn: 0.3761 0.5000 0.8761
Zn: 0.8761 0.3761 0.5000
Zn: 0.6239 0.5000 0.1239
Zn: 0.5000 0.1239 0.6239
Zn: 0.1239 0.6239 0.5000
Zn: 0.5000 0.8761 0.3761
Ca: 0.4705 0.1834 0.2870
Ca: 0.8166 0.7130 0.5295
Ca: 0.8166 0.2870 0.1036
Ca: 0.1834 0.2870 0.4705
Ca: 0.5295 0.8166 0.7130
Ca: 0.7130 0.8964 0.1834
Ca: 0.1834 0.7130 0.8964
Ca: 0.2870 0.1036 0.8166
Ca: 0.8964 0.1834 0.7130
Ca: 0.2870 0.4705 0.1834
Ca: 0.1036 0.8166 0.2870
Ca: 0.7130 0.5295 0.8166
Ga: 0.0000 0.0000 0.0000

Properties
Space group: Im-3, No. 204
Calculated formation energy in kJ/mol of formula units: -334.9
Magnetic moment in μB per formula unit: 0.00
Electronic total energy in eV per cell: -38.16

# 6
## Dy2GaF (PBE)

Data for Dy2GaF after structural relaxation.

a = 3.6848 Å, b = 3.6848 Å, c = 7.4130 Å
α = 75.61°, β = 75.61°, γ = 60.00°
Sites, in units of the cell vectors:
Dy: 0.2623 0.2623 0.2130
Dy: 0.7377 0.7377 0.7870
F: 0.0000 0.0000 0.0000
Ga: 0.5000 0.5000 0.5000

Properties
Space group: R-3m, No. 166
Magnetic moment in μB per formula unit: 0.00
Electronic total energy in eV per cell: -19.55